Entry 1:
DFT (PBE) results for an optimized crystal structure of TlZn4Ru.

Electronic total energy = -2.57 eV/atom
Magnetization = 0.00 μB/atom
Formation energy = 0.220 eV/atom
Crystal system = cubic

Cell lengths 5.1173, 5.1173, 5.1173 Å; angles 60.00, 60.00, 60.00 degrees
Closest atoms and distances in Å follow each position.
Fractional coordinates of all 6 atoms:
Tl 0.0000 0.0000 0.0000  12 Zn 3.00, 4 Ru 3.13
Zn 0.3761 0.3761 0.3761  6 Zn 2.54-2.58
Zn 0.3761 0.3761 0.8717  6 Zn 2.54-2.58
Zn 0.8717 0.3761 0.3761  6 Zn 2.54-2.58
Zn 0.3761 0.8717 0.3761  6 Zn 2.54-2.58
Ru 0.7500 0.7500 0.7500  12 Zn 3.00, 4 Tl 3.13

---

Entry 2:
DFT (PBE) results for an optimized crystal structure of Tl2ZnRu.

Energy above the most stable polymorph in this dataset = 1.59 eV/f.u.
Electronic total energy = -3.15 eV/atom
Magnetization = 0.16 μB/atom
Formation energy = 0.672 eV/atom
Crystal system = cubic

Cell lengths 4.8708, 4.8708, 4.8708 Å; angles 60.00, 60.00, 60.00 degrees
Closest atoms and distances in Å follow each position.
Fractional coordinates of all 4 atoms:
Tl 0.0000 0.0000 0.0000  4 Tl 2.98, 4 Zn 2.98
Tl 0.2500 0.2500 0.2500  4 Tl 2.98, 4 Ru 2.98
Zn 0.7500 0.7500 0.7500  4 Tl 2.98, 4 Ru 2.98
Ru 0.5000 0.5000 0.5000  4 Zn 2.98, 4 Tl 2.98

---

Entry 3:
DFT (PBE) results for an optimized crystal structure of Tl2ZnRu.

Energy above the most stable polymorph in this dataset = 1.13 eV/f.u.
Electronic total energy = -3.26 eV/atom
Magnetization = 0.00 μB/atom
Formation energy = 0.556 eV/atom
Crystal system = orthorhombic

Cell lengths 3.4887, 5.1930, 4.4342 Å; angles 90.00, 90.00, 90.00 degrees
Closest atoms and distances in Å follow each position.
Fractional coordinates of all 4 atoms:
Zn 0.5000 0.0000 0.5000  4 Tl 2.82, 4 Ru 3.13
Tl 0.5000 0.5000 0.0000  4 Ru 2.82, 4 Tl 3.13
Tl 0.0000 0.0000 0.0000  4 Zn 2.82, 4 Tl 3.13
Ru 0.0000 0.5000 0.5000  4 Tl 2.82, 4 Zn 3.13

---

Entry 4:
DFT (PBE) results for an optimized crystal structure of Tl2ZnRu.

Energy above the most stable polymorph in this dataset = 0.74 eV/f.u.
Electronic total energy = -3.36 eV/atom
Magnetization = 0.10 μB/atom
Formation energy = 0.459 eV/atom
Crystal system = tetragonal

Cell lengths 3.6073, 3.6073, 6.0219 Å; angles 90.00, 90.00, 90.00 degrees
Closest atoms and distances in Å follow each position.
Fractional coordinates of all 4 atoms:
Zn 0.5000 0.5000 0.2500  8 Tl 2.98, 2 Ru 3.01
Tl 0.0000 0.0000 0.9956  4 Ru 2.95, 2 Tl 2.96-3.06, 4 Zn 2.98
Tl 0.0000 0.0000 0.5044  4 Ru 2.95, 2 Tl 2.96-3.06, 4 Zn 2.98
Ru 0.5000 0.5000 0.7500  8 Tl 2.95, 2 Zn 3.01

---

Entry 5:
DFT (PBE) results for an optimized crystal structure of Tl4ZnRu.

Electronic total energy = -2.45 eV/atom
Magnetization = 0.30 μB/atom
Formation energy = 0.889 eV/atom
Crystal system = cubic

Cell lengths 6.1273, 6.1273, 6.1273 Å; angles 60.00, 60.00, 60.00 degrees
Closest atoms and distances in Å follow each position.
Fractional coordinates of all 6 atoms:
Tl 0.3747 0.8760 0.3747  6 Tl 3.06-3.07
Tl 0.3747 0.3747 0.8760  6 Tl 3.06-3.07
Tl 0.3747 0.3747 0.3747  6 Tl 3.06-3.07
Tl 0.8760 0.3747 0.3747  6 Tl 3.06-3.07
Zn 0.7500 0.7500 0.7500  12 Tl 3.59, 4 Ru 3.75
Ru 0.0000 0.0000 0.0000  12 Tl 3.59, 4 Zn 3.75

---

Entry 6:
DFT (PBE) results for an optimized crystal structure of Tl2ZnRu.

Energy above the most stable polymorph in this dataset = 0.40 eV/f.u.
Electronic total energy = -3.45 eV/atom
Magnetization = 0.00 μB/atom
Formation energy = 0.373 eV/atom
Crystal system = tetragonal

Cell lengths 10.3224, 10.3224, 7.7011 Å; angles 47.92, 47.92, 90.00 degrees
Closest atoms and distances in Å follow each position.
Fractional coordinates of all 8 atoms:
Tl 0.3750 0.1253 0.7500  2 Ru 2.65
Tl 0.8753 0.6250 0.2500  2 Ru 2.65
Tl 0.8747 0.1250 0.2500  2 Ru 2.65
Tl 0.8750 0.1247 0.7500  2 Ru 2.65
Zn 0.5000 0.5000 0.0000  2 Ru 2.46
Zn 0.2500 0.7500 0.5000  2 Ru 2.46
Ru 0.7500 0.2500 0.5000  2 Zn 2.46, 4 Tl 2.65
Ru 0.0000 0.0000 0.0000  2 Zn 2.46, 4 Tl 2.65